1.
First-principles (PBE) data for a relaxed structure of Pr8Nd2Zn, as listed in Alexandria via LeMat-Bulk.

```
Pr8Nd2Zn
1.0
9.839 -2.896 0.000
9.839 2.896 0.000
-0.390 0.000 6.616
Pr Nd Zn
8 2 1
direct
0.039 0.039 0.252
0.155 0.155 0.807
0.345 0.345 0.879
0.421 0.421 0.390
0.579 0.579 0.610
0.655 0.655 0.121
0.845 0.845 0.193
0.961 0.961 0.748
0.237 0.237 0.332
0.763 0.763 0.668
0.500 0.500 0.000
```

Summary:
E_form: -0.012 eV/atom
space group: No. 12
distance to the lowest polymorph of the same formula: 0.0 meV per atom

***

2.
First-principles (PBE) data for a relaxed structure of EuTh2Ga, as listed in Alexandria via LeMat-Bulk.

```
EuTh2Ga
1.0
3.934 0.000 0.000
0.000 3.934 0.000
0.000 0.000 7.728
Eu Th Ga
1 2 1
direct
0.000 0.000 0.000
0.500 0.500 0.301
0.500 0.500 0.699
0.000 0.000 0.500
```

Summary:
E_form: -0.049 eV/atom
space group: No. 123
distance to the lowest polymorph of the same formula: 0.0 meV per atom

***

3.
First-principles (PBE) data for a relaxed structure of TcNiTe2, as listed in Alexandria via LeMat-Bulk.

```
TcNiTe2
1.0
3.417 -1.973 0.000
3.417 1.973 0.000
-2.265 0.000 6.653
Tc Ni Te
1 1 2
direct
0.000 0.000 0.000
0.708 0.708 0.126
0.252 0.252 0.756
0.432 0.432 0.298
```

Summary:
space group: No. 8
distance to the lowest polymorph of the same formula: 0.0 meV per atom
formation energy (no corrections): 0.1 eV/f.u.

***

4.
First-principles (PBE) data for a relaxed structure of MnNCl2, as listed in Alexandria via LeMat-Bulk.

```
MnNCl2
1.0
10.685 -1.860 0.000
10.685 1.860 0.000
-1.194 0.000 6.332
Mn N Cl
2 2 4
direct
0.250 0.250 0.250
0.750 0.750 0.750
0.038 0.038 0.774
0.962 0.962 0.226
0.184 0.184 0.542
0.316 0.316 0.957
0.684 0.684 0.043
0.816 0.816 0.458
```

Summary:
space group: No. 12
distance to the lowest polymorph of the same formula: 0.8 meV per atom
formation energy (no corrections): 1.9 eV/f.u.

***

- The highest distance to the lowest polymorph of the same formula belongs to which entry?
  MnNCl2

***

- The highest distance to the lowest polymorph of the same formula belongs to which entry?
  MnNCl2